# GGA-PBE LiThSn2, relaxed
# E: -18.8 eV per formula unit
# Crystal system: trigonal
data_LiThSn2
_chemical_formula_sum 'Li3 Th3 Sn6'
_cell_length_a 4.6840
_cell_length_b 4.6840
_cell_length_c 16.1538
_cell_angle_alpha 90.00
_cell_angle_beta 90.00
_cell_angle_gamma 120.00
_symmetry_space_group_name_H-M 'R -3 m'
_symmetry_Int_Tables_number 166
_symmetry_space_group_name_Hall '-R 3 2"'
loop_
_atom_site_label
_atom_site_type_symbol
_atom_site_fract_x
_atom_site_fract_y
_atom_site_fract_z
Li1 Li 0.0000 0.0000 0.0000
Th1 Th 0.0000 0.0000 0.5000
Sn1 Sn 0.0000 0.0000 0.2763

***

# GGA-PBE LiThSn2, relaxed
# E: -19.0 eV per formula unit
# Crystal system: tetragonal
data_LiThSn2
_chemical_formula_sum 'Li1 Th1 Sn2'
_cell_length_a 3.6100
_cell_length_b 3.6100
_cell_length_c 7.4799
_cell_angle_alpha 90.00
_cell_angle_beta 90.00
_cell_angle_gamma 90.00
_symmetry_space_group_name_H-M 'P 4/m m m'
_symmetry_Int_Tables_number 123
_symmetry_space_group_name_Hall '-P 4 2'
loop_
_atom_site_label
_atom_site_type_symbol
_atom_site_fract_x
_atom_site_fract_y
_atom_site_fract_z
Li1 Li 0.0000 0.0000 0.0000
Th1 Th 0.0000 0.0000 0.5000
Sn1 Sn 0.5000 0.5000 0.2075

***

# GGA-PBE LiThSn, relaxed
# E: -14.8 eV per formula unit
# Crystal system: orthorhombic
data_LiThSn
_chemical_formula_sum 'Li4 Th4 Sn4'
_cell_length_a 7.4251
_cell_length_b 4.8046
_cell_length_c 8.3396
_cell_angle_alpha 90.00
_cell_angle_beta 90.00
_cell_angle_gamma 90.00
_symmetry_space_group_name_H-M 'P n m a'
_symmetry_Int_Tables_number 62
_symmetry_space_group_name_Hall '-P 2ac 2n'
loop_
_atom_site_label
_atom_site_type_symbol
_atom_site_fract_x
_atom_site_fract_y
_atom_site_fract_z
Li1 Li 0.2127 0.2500 0.0822
Th1 Th 0.0018 0.2500 0.7328
Sn1 Sn 0.2351 0.7500 0.9152

***

# GGA-PBE LiThSn6, relaxed
# E: -35.5 eV per formula unit
# Crystal system: tetragonal
data_LiThSn6
_chemical_formula_sum 'Li1 Th1 Sn6'
_cell_length_a 4.6599
_cell_length_b 4.6599
_cell_length_c 9.5981
_cell_angle_alpha 90.00
_cell_angle_beta 90.00
_cell_angle_gamma 90.00
_symmetry_space_group_name_H-M 'P 4/m m m'
_symmetry_Int_Tables_number 123
_symmetry_space_group_name_Hall '-P 4 2'
loop_
_atom_site_label
_atom_site_type_symbol
_atom_site_fract_x
_atom_site_fract_y
_atom_site_fract_z
Li1 Li 0.0000 0.0000 0.0000
Th1 Th 0.0000 0.0000 0.5000
Sn1 Sn 0.0000 0.5000 0.2379
Sn2 Sn 0.5000 0.5000 0.0000
Sn3 Sn 0.5000 0.5000 0.5000

***

# GGA-PBE LiThSn, relaxed
# E: -14.0 eV per formula unit
# Crystal system: tetragonal
data_LiThSn
_chemical_formula_sum 'Li2 Th2 Sn2'
_cell_length_a 3.5025
_cell_length_b 3.5025
_cell_length_c 12.0230
_cell_angle_alpha 90.00
_cell_angle_beta 90.00
_cell_angle_gamma 90.00
_symmetry_space_group_name_H-M 'I 4 m m'
_symmetry_Int_Tables_number 107
_symmetry_space_group_name_Hall 'I 4 -2'
loop_
_atom_site_label
_atom_site_type_symbol
_atom_site_fract_x
_atom_site_fract_y
_atom_site_fract_z
Li1 Li 0.0000 0.0000 0.0000
Th1 Th 0.0000 0.0000 0.3099
Sn1 Sn 0.0000 0.0000 0.6132

***

# GGA-PBE LiThSn, relaxed
# E: -14.8 eV per formula unit
# Crystal system: hexagonal
data_LiThSn
_chemical_formula_sum 'Li2 Th2 Sn2'
_cell_length_a 4.8132
_cell_length_b 4.8132
_cell_length_c 7.4322
_cell_angle_alpha 90.00
_cell_angle_beta 90.00
_cell_angle_gamma 120.00
_symmetry_space_group_name_H-M 'P 63/m m c'
_symmetry_Int_Tables_number 194
_symmetry_space_group_name_Hall '-P 6c 2c'
loop_
_atom_site_label
_atom_site_type_symbol
_atom_site_fract_x
_atom_site_fract_y
_atom_site_fract_z
Li1 Li 0.3333 0.6667 0.2500
Th1 Th 0.0000 0.0000 0.0000
Sn1 Sn 0.3333 0.6667 0.7500

***

# GGA-PBE LiThSn2, relaxed
# E: -19.1 eV per formula unit
# Crystal system: tetragonal
data_LiThSn2
_chemical_formula_sum 'Li1 Th1 Sn2'
_cell_length_a 4.7248
_cell_length_b 4.7248
_cell_length_c 4.5469
_cell_angle_alpha 90.00
_cell_angle_beta 90.00
_cell_angle_gamma 90.00
_symmetry_space_group_name_H-M 'P 4/m m m'
_symmetry_Int_Tables_number 123
_symmetry_space_group_name_Hall '-P 4 2'
loop_
_atom_site_label
_atom_site_type_symbol
_atom_site_fract_x
_atom_site_fract_y
_atom_site_fract_z
Li1 Li 0.0000 0.0000 0.0000
Th1 Th 0.5000 0.5000 0.0000
Sn1 Sn 0.0000 0.5000 0.5000

***

# GGA-PBE LiThSn, relaxed
# E: -14.4 eV per formula unit
# Crystal system: orthorhombic
data_LiThSn
_chemical_formula_sum 'Li6 Th6 Sn6'
_cell_length_a 13.6408
_cell_length_b 4.8984
_cell_length_c 6.9509
_cell_angle_alpha 90.00
_cell_angle_beta 90.00
_cell_angle_gamma 90.00
_symmetry_space_group_name_H-M 'P m m a'
_symmetry_Int_Tables_number 51
_symmetry_space_group_name_Hall '-P 2a 2a'
loop_
_atom_site_label
_atom_site_type_symbol
_atom_site_fract_x
_atom_site_fract_y
_atom_site_fract_z
Li1 Li 0.1338 0.0000 0.0597
Li2 Li 0.2500 0.0000 0.7400
Th1 Th 0.0221 0.5000 0.7469
Th2 Th 0.2500 0.5000 0.4033
Sn1 Sn 0.1052 0.0000 0.4609
Sn2 Sn 0.2500 0.5000 0.9327

***

# GGA-PBE LiThTlSn, relaxed
# E: -16.6 eV per formula unit
# Crystal system: cubic
data_LiThTlSn
_chemical_formula_sum 'Li4 Th4 Tl4 Sn4'
_cell_length_a 7.4970
_cell_length_b 7.4970
_cell_length_c 7.4970
_cell_angle_alpha 90.00
_cell_angle_beta 90.00
_cell_angle_gamma 90.00
_symmetry_space_group_name_H-M 'F -4 3 m'
_symmetry_Int_Tables_number 216
_symmetry_space_group_name_Hall 'F -4 2 3'
loop_
_atom_site_label
_atom_site_type_symbol
_atom_site_fract_x
_atom_site_fract_y
_atom_site_fract_z
Li1 Li 0.0000 0.0000 0.0000
Th1 Th 0.0000 0.0000 0.5000
Tl1 Tl 0.2500 0.2500 0.2500
Sn1 Sn 0.2500 0.2500 0.7500

***

# GGA-PBE Li2ThZn2Sn2, relaxed
# E: -24.4 eV per formula unit
# Crystal system: trigonal
data_Li2ThZn2Sn2
_chemical_formula_sum 'Li6 Th3 Zn6 Sn6'
_cell_length_a 4.4943
_cell_length_b 4.4943
_cell_length_c 24.9773
_cell_angle_alpha 90.00
_cell_angle_beta 90.00
_cell_angle_gamma 120.00
_symmetry_space_group_name_H-M 'R -3 m'
_symmetry_Int_Tables_number 166
_symmetry_space_group_name_Hall '-R 3 2"'
loop_
_atom_site_label
_atom_site_type_symbol
_atom_site_fract_x
_atom_site_fract_y
_atom_site_fract_z
Li1 Li 0.0000 0.0000 0.1421
Th1 Th 0.0000 0.0000 0.0000
Zn1 Zn 0.0000 0.0000 0.4469
Sn1 Sn 0.0000 0.0000 0.2568

***

# GGA-PBE Li3TiSn4, relaxed
# E: -31.7 eV per formula unit
# Crystal system: monoclinic
data_Li3TiSn4
_chemical_formula_sum 'Li6 Ti2 Sn8'
_cell_length_a 6.9790
_cell_length_b 6.9801
_cell_length_c 7.4963
_cell_angle_alpha 90.00
_cell_angle_beta 117.64
_cell_angle_gamma 90.00
_symmetry_space_group_name_H-M 'C 1 2/m 1'
_symmetry_Int_Tables_number 12
_symmetry_space_group_name_Hall '-C 2y'
loop_
_atom_site_label
_atom_site_type_symbol
_atom_site_fract_x
_atom_site_fract_y
_atom_site_fract_z
Li1 Li 0.0000 0.0000 0.0000
Li2 Li 0.2395 0.5000 0.4791
Ti1 Ti 0.0000 0.5000 0.0000
Sn1 Sn 0.1253 0.2500 0.7505

***

# GGA-PBE LiTiSn, relaxed
# E: -14.4 eV per formula unit
# Crystal system: trigonal
data_LiTiSn
_chemical_formula_sum 'Li1 Ti1 Sn1'
_cell_length_a 4.4549
_cell_length_b 4.4549
_cell_length_c 3.1048
_cell_angle_alpha 90.00
_cell_angle_beta 90.00
_cell_angle_gamma 120.00
_symmetry_space_group_name_H-M 'P 3 m 1'
_symmetry_Int_Tables_number 156
_symmetry_space_group_name_Hall 'P 3 -2"'
loop_
_atom_site_label
_atom_site_type_symbol
_atom_site_fract_x
_atom_site_fract_y
_atom_site_fract_z
Li1 Li 0.0000 0.0000 0.0000
Ti1 Ti 0.3333 0.6667 0.5010
Sn1 Sn 0.6667 0.3333 0.0020

***

What Fermi-level density of states values result from the calculations? In sequence: 0.59 0.32 0.54 0.54 1.02 0.61 0.57 0.63 0.75 0.16 0.47 0.77 states/eV per atom.